[1]
{
  "formula": "CaBe2GeF",
  "functional": "PBE",
  "state": "optimized geometry",
  "lattice_angstrom": [[4.2249, 0.0000, 0.0000], [0.0000, 4.2249, 0.0000], [0.0000, 0.0000, 4.3700]],
  "species": ["Ca", "Be", "Be", "Ge", "F"],
  "frac_coords": [[0.0000, 0.0000, 0.0000], [0.0000, 0.5000, 0.5000], [0.5000, 0.0000, 0.5000], [0.5000, 0.5000, 0.0000], [0.0000, 0.0000, 0.5000]],
  "m_tot_mub_per_fu": 0.0,
  "e_form_raw_kj_per_mol_fu": -140,
  "crystal_system": "tetragonal"
}

***

[2]
{
  "formula": "U2Cr2WC4",
  "functional": "PBE",
  "state": "optimized geometry",
  "lattice_angstrom": [[6.7426, -1.5002, 0.0000], [6.7426, 1.5002, 0.0000], [-1.1930, 0.0000, 5.3308]],
  "species": ["U", "U", "Cr", "Cr", "W", "C", "C", "C", "C"],
  "frac_coords": [[0.1261, 0.1261, 0.0252], [0.8739, 0.8739, 0.9748], [0.3212, 0.3212, 0.4625], [0.6788, 0.6788, 0.5375], [0.0000, 0.0000, 0.5000], [0.2460, 0.2460, 0.7444], [0.4570, 0.4570, 0.7391], [0.5430, 0.5430, 0.2609], [0.7540, 0.7540, 0.2556]],
  "m_tot_mub_per_fu": 0.5,
  "crystal_system": "monoclinic",
  "formation_enthalpy_0k_ev_per_atom": -0.0984
}

***

[3]
{
  "formula": "RbMnCd2I",
  "functional": "PBE",
  "state": "optimized geometry",
  "lattice_angstrom": [[5.4030, 0.0000, 0.0000], [0.0000, 5.4030, 0.0000], [0.0000, 0.0000, 6.2084]],
  "species": ["Rb", "Mn", "Cd", "Cd", "I"],
  "frac_coords": [[0.0000, 0.0000, 0.0000], [0.5000, 0.5000, 0.5000], [0.0000, 0.5000, 0.5000], [0.5000, 0.0000, 0.5000], [0.5000, 0.5000, 0.0000]],
  "m_tot_mub_per_fu": 4.1,
  "e_form_raw_kj_per_mol_fu": -7,
  "crystal_system": "tetragonal"
}

***

[4]
{
  "formula": "K3Ce3ZrS8",
  "functional": "PBE",
  "state": "optimized geometry",
  "lattice_angstrom": [[4.0966, 2.3651, 7.4810], [-4.0966, 2.3651, 7.4810], [0.0000, -4.7303, 7.4810]],
  "species": ["K", "K", "K", "Ce", "Ce", "Ce", "Zr", "S", "S", "S", "S", "S", "S", "S", "S"],
  "frac_coords": [[0.0000, 0.5000, 0.5000], [0.5000, 0.0000, 0.5000], [0.5000, 0.5000, 0.0000], [0.0000, 0.0000, 0.5000], [0.0000, 0.5000, 0.0000], [0.5000, 0.0000, 0.0000], [0.5000, 0.5000, 0.5000], [0.2360, 0.2360, 0.2360], [0.2542, 0.7195, 0.7195], [0.2805, 0.2805, 0.7458], [0.2805, 0.7458, 0.2805], [0.7195, 0.2542, 0.7195], [0.7195, 0.7195, 0.2542], [0.7458, 0.2805, 0.2805], [0.7640, 0.7640, 0.7640]],
  "m_tot_mub_per_fu": 1.1,
  "e_form_raw_kj_per_mol_fu": -2522,
  "crystal_system": "trigonal"
}